# WBr3 PBE optimized geometry
data_WBr3
_cell_length_a 9.4537
_cell_length_b 9.4537
_cell_length_c 3.7734
_cell_angle_alpha 90.00
_cell_angle_beta 90.00
_cell_angle_gamma 120.00
_symmetry_space_group_name_H-M 'R -3 m'
_symmetry_Int_Tables_number 166
_symmetry_space_group_name_Hall '-R 3 2"'
loop_
_atom_site_label
_atom_site_type_symbol
_atom_site_fract_x
_atom_site_fract_y
_atom_site_fract_z
_atom_site_occupancy
W1 W 0.0000 0.0000 0.0000 1
Br1 Br 0.0000 0.5000 0.0000 1
# ΔE_f (raw)	1.2072	eV per atom